Here is crystalline ZrVNi at its relaxed geometry from Alexandria. Energies are from PBE.

a b c (Å): 4.8145 3.9790 5.2415
angles (deg): 90.00 106.23 90.00
With the nearest neighbours (Å) after each atom.
Space group P2_1/m (No. 11)
Inequivalent atoms, fractional coordinates:
Zr: 0.0652 0.2500 0.2383  4 Ni 2.59-2.77
V: 0.4439 0.2500 0.8533  3 Ni 2.47-2.56, 2 V 2.48
Ni: 0.3783 0.7500 0.5628  3 V 2.47-2.56, 2 Ni 2.49, 2 Zr 2.59-2.63

## Properties
ΔH_f (0 K): -132 meV per atom
total magnetic moment: 0.00 Bohr magnetons per cell
E: -7.948 eV per atom


Here is crystalline CsP2PdS at its relaxed geometry from Alexandria. Energies are from PBE.

a b c (Å): 4.7521 4.7521 5.4506
angles (deg): 90.00 90.00 90.00
With the nearest neighbours (Å) after each atom.
Space group P4/mmm (No. 123)
Inequivalent atoms, fractional coordinates:
Cs: 0.0000 0.0000 0.0000  4 S 3.36, 8 P 3.62
P: 0.0000 0.5000 0.5000  2 Pd 2.38
Pd: 0.5000 0.5000 0.5000  4 P 2.38
S: 0.5000 0.5000 0.0000  2 Pd 2.73

## Properties
total magnetic moment: 0.59 Bohr magnetons per cell
E: -3.893 eV per atom


Here is crystalline Sm2TmTl3Se6 at its relaxed geometry from Alexandria. Energies are from PBE.

a b c (Å): 7.3243 12.6816 8.1454
angles (deg): 90.00 107.45 90.00
With the nearest neighbours (Å) after each atom.
Space group C2/m (No. 12)
Inequivalent atoms, fractional coordinates:
Sm: 0.0000 0.1665 0.0000  6 Se 2.94-2.95
Tm: 0.0000 0.5000 0.0000  6 Se 2.86-2.87
Tl: 0.0000 0.0000 0.5000  6 Se 3.32-3.38
Tl: 0.0000 0.3315 0.5000  6 Se 3.33-3.38
Se: 0.2309 0.3376 0.2053  1 Tm 2.86, 2 Sm 2.94
Se: 0.2442 0.0000 0.2074  1 Tm 2.87, 2 Sm 2.95

## Properties
total magnetic moment: 0.00 Bohr magnetons per cell
E: -4.872 eV per atom